1.
Here is Ta2PtCl after structural relaxation from the Alexandria database. Energies are from PBE.

## Properties
The formation energy from raw total energies comes out at 0.0479 eV per atom.

Lattice parameters (Å, degrees): 4.5638 4.5638 4.5638 60.00 60.00 60.00
With the nearest neighbours (Å) after each atom.
Atoms (fractional coordinates):
Ta  0.2500  0.2500  0.2500  4 Cl 2.79, 4 Pt 2.79
Pt  0.5000  0.5000  0.5000  8 Ta 2.79
Ta  0.7500  0.7500  0.7500  4 Pt 2.79, 4 Cl 2.79
Cl  0.0000  0.0000  0.0000  8 Ta 2.79

2.
Here is CoRu2Cl after structural relaxation from the Alexandria database. Energies are from PBE.

## Properties
The formation energy from raw total energies comes out at 0.3850 eV per atom.

Lattice parameters (Å, degrees): 8.2669 8.2669 8.2669 19.65 19.65 19.65
With the nearest neighbours (Å) after each atom.
Atoms (fractional coordinates):
Cl  0.4937  0.4937  0.4937  3 Co 2.42
Ru  0.2517  0.2517  0.2517  9 Ru 2.59-2.82, 3 Cl 2.75
Co  0.7535  0.7535  0.7535  3 Cl 2.42, 3 Ru 2.65
Ru  0.0010  0.0010  0.0010  9 Ru 2.59-2.82, 3 Co 2.65

3.
Here is ReTe2Se after structural relaxation from the Alexandria database. Energies are from PBE.

## Properties
The formation energy from raw total energies comes out at 0.1681 eV per atom.

Lattice parameters (Å, degrees): 3.3044 5.5331 5.8115 118.43 90.00 90.00
With the nearest neighbours (Å) after each atom.
Atoms (fractional coordinates):
Te  0.0000  0.0027  0.6303  2 Re 2.77
Re  0.0000  0.5078  0.6406  2 Se 2.49, 4 Te 2.70-2.77
Te  0.5000  0.2991  0.2233  2 Re 2.70, 2 Se 2.98
Se  0.5000  0.6904  0.0059  2 Re 2.49

4.
Here is NaGa3Pd3 after structural relaxation from the Alexandria database. Energies are from PBE.

## Properties
For the formation energy from the elements, the calculation gives -0.3807 eV/atom.

Lattice parameters (Å, degrees): 6.8895 6.8895 7.1094 61.02 61.02 60.00
With the nearest neighbours (Å) after each atom.
Atoms (fractional coordinates):
Pd  0.8251  0.3090  0.7914  4 Ga 2.54-2.62
Ga  0.0985  0.5338  0.6433  4 Pd 2.54-2.62, 2 Ga 2.78
Pd  0.9255  0.1749  0.2086  4 Ga 2.54-2.62
Pd  0.1749  0.6910  0.2086  4 Ga 2.54-2.62
Pd  0.6910  0.9255  0.2086  4 Ga 2.54-2.62
Pd  0.3090  0.0745  0.7914  4 Ga 2.54-2.62
Pd  0.0745  0.8251  0.7914  4 Ga 2.54-2.62
Ga  0.7244  0.0985  0.6433  4 Pd 2.54-2.62, 2 Ga 2.78
Ga  0.2756  0.9015  0.3567  4 Pd 2.54-2.62, 2 Ga 2.78
Ga  0.5338  0.7244  0.6433  4 Pd 2.54-2.62, 2 Ga 2.78
Na  0.3390  0.3390  0.9829  6 Pd 2.88-3.00, 6 Ga 2.96-2.98
Ga  0.4662  0.2756  0.3567  4 Pd 2.54-2.62, 2 Ga 2.78
Na  0.6610  0.6610  0.0171  6 Pd 2.88-3.00, 6 Ga 2.96-2.98
Ga  0.9015  0.4662  0.3567  4 Pd 2.54-2.62, 2 Ga 2.78

no.,volume (A^3/atom)
1,16.80
2,13.97
3,23.36
4,17.30